The following is a GGA-PBEsol calculation of an optimized crystal structure of La2Co, from Alexandria.

Output
magnetic moment = 0.00 μB/cell
ΔH_f (0 K) = -0.065 eV per atom
crystal system = orthorhombic

Cell and atoms, written as POSCAR:
```
La2Co
1.0
-2.217 -0.264 -3.416
5.409 0.036 -3.513
0.258 -6.463 0.332
Co La
2 4
Cartesian
0.000 0.000 0.000
1.725 -3.346 -3.299
1.684 -2.034 -0.936
0.204 -5.401 -2.153
3.246 -1.290 -4.445
3.983 -4.393 -2.246
```